! PBE-GGA Na3Mg2In7, relaxed; values from VASP
&SYSTEM
  ibrav = 0, nat = 12, ntyp = 3
/
ATOMIC_SPECIES
Na 22.99 Na.upf
Mg 24.30 Mg.upf
In 114.82 In.upf
ATOMIC_POSITIONS angstrom
Na 0.249 -2.901 1.329
Na 3.837 2.226 4.169
Na 7.920 1.809 6.917
Mg 3.116 -1.222 4.453
Mg 6.404 3.411 9.678
In 4.930 -0.194 6.410
In 4.589 2.382 7.721
In 2.909 -1.073 1.487
In 0.000 0.000 0.000
In 8.848 5.108 9.599
In 9.013 2.163 10.839
In 0.506 0.025 3.292
CELL_PARAMETERS angstrom
-2.238 -1.846 3.046
2.737 -3.955 -0.387
9.020 7.990 11.473
! Space-group type   No. 10
! Crystal system   monoclinic
! DFT formation energy   -0.3 eV/f.u.
! Total moment   0.0 μB per formula unit